Below is a geometry-optimized Lu5Nb3H12 structure, with properties calculated at the GGA-PBE level.

uncorrected energy: -396.0 eV/cell

Cell lengths 10.4228, 10.4228, 10.4228 Å; angles 109.47, 109.47, 109.47 degrees
Fractional positions:
H (0.5793, 0.3467, 0.9154)
H (0.0846, 0.1533, 0.4207)
H (0.1640, 0.7327, 0.5793)
H (0.6533, 0.4207, 0.5846)
H (0.3467, 0.5793, 0.4154)
H (0.6640, 0.5846, 0.9313)
H (0.4313, 0.1640, 0.5846)
H (0.2673, 0.8360, 0.9207)
H (0.4207, 0.7673, 0.8360)
H (0.7673, 0.3467, 0.9313)
H (0.1533, 0.0846, 0.9207)
H (0.3360, 0.4154, 0.0687)
H (0.9207, 0.3360, 0.2673)
H (0.8360, 0.2673, 0.4207)
H (0.5687, 0.7327, 0.6533)
H (0.0846, 0.9313, 0.1640)
H (0.5846, 0.9207, 0.6533)
H (0.4154, 0.3360, 0.5687)
H (0.9313, 0.0846, 0.6640)
H (0.0793, 0.6640, 0.7327)
H (0.4207, 0.6533, 0.0846)
H (0.7327, 0.5687, 0.1533)
H (0.4154, 0.0793, 0.3467)
H (0.2327, 0.5793, 0.6640)
H (0.8360, 0.5687, 0.9154)
H (0.8467, 0.9154, 0.0793)
H (0.8467, 0.9313, 0.2673)
H (0.9154, 0.8467, 0.5793)
H (0.2673, 0.4313, 0.8467)
H (0.3360, 0.9207, 0.7673)
H (0.4313, 0.2673, 0.3467)
H (0.0793, 0.4154, 0.8467)
H (0.1533, 0.0687, 0.7327)
H (0.9313, 0.8467, 0.7673)
H (0.9207, 0.5846, 0.1533)
H (0.7327, 0.1640, 0.0793)
H (0.5846, 0.6640, 0.4313)
H (0.0687, 0.9154, 0.3360)
H (0.6640, 0.0793, 0.2327)
H (0.5687, 0.8360, 0.4154)
H (0.2327, 0.6533, 0.0687)
H (0.6533, 0.2327, 0.5687)
H (0.1640, 0.4313, 0.0846)
H (0.0687, 0.1533, 0.2327)
H (0.5793, 0.2327, 0.1640)
H (0.9154, 0.0687, 0.8360)
H (0.7673, 0.4207, 0.3360)
H (0.3467, 0.7673, 0.4313)
Lu (0.8750, 0.2500, 0.6250)
Lu (0.1250, 0.7500, 0.3750)
Lu (0.0000, 0.5000, 0.5000)
Lu (0.5000, 0.5000, 0.5000)
Lu (0.1250, 0.3750, 0.2500)
Lu (0.3750, 0.1250, 0.7500)
Lu (0.6250, 0.7500, 0.8750)
Lu (0.5000, 0.0000, 0.5000)
Lu (0.7500, 0.1250, 0.8750)
Lu (0.8750, 0.6250, 0.7500)
Lu (0.3750, 0.2500, 0.1250)
Lu (0.0000, 0.0000, 0.0000)
Lu (0.0000, 0.5000, 0.0000)
Lu (0.5000, 0.5000, 0.0000)
Lu (0.6250, 0.8750, 0.2500)
Lu (0.2500, 0.3750, 0.6250)
Lu (0.0000, 0.0000, 0.5000)
Lu (0.7500, 0.6250, 0.3750)
Lu (0.5000, 0.0000, 0.0000)
Lu (0.2500, 0.8750, 0.1250)
Nb (0.1250, 0.8750, 0.7500)
Nb (0.7500, 0.3750, 0.1250)
Nb (0.8750, 0.1250, 0.2500)
Nb (0.3750, 0.6250, 0.2500)
Nb (0.2500, 0.6250, 0.8750)
Nb (0.7500, 0.8750, 0.6250)
Nb (0.1250, 0.2500, 0.8750)
Nb (0.2500, 0.1250, 0.3750)
Nb (0.6250, 0.3750, 0.7500)
Nb (0.3750, 0.7500, 0.6250)
Nb (0.6250, 0.2500, 0.3750)
Nb (0.8750, 0.7500, 0.1250)